VASP calculation (GGA-PBE) on a geometry-optimized CeSmIN2 structure.

Calculated values
Its crystal system is monoclinic. The calculation puts the uncorrected energy at -36.460 eV/f.u. Its symmetry is P2_1/m, No. 11.

Structure (POSCAR):
```
CeSmIN2
1.0
-2.653 -3.122 0.967
4.561 -2.216 5.358
-5.052 5.364 3.454
Ce Sm I N
2 2 2 4
Direct
0.250 0.639 0.908
0.750 0.361 0.092
0.250 0.644 0.411
0.750 0.356 0.589
0.250 0.037 0.750
0.750 0.963 0.250
0.750 0.496 0.365
0.250 0.504 0.635
0.750 0.518 0.888
0.250 0.482 0.112
```